1.
CeNdSmEr, relaxed, DFT PBE-GGA; symmetry = No. 216; total energy = -4.799 eV per atom; size of the total moment = 3.28 μB per formula unit; ΔE_f = 4.5 kcal/mol of atoms
1.0
5.7288 0.0000 0.0000
2.8644 4.9612 0.0000
2.8644 1.6537 4.6775
Nd Ce Sm Er
1 1 1 1
direct
0.2500 0.2500 0.2500
0.0000 0.0000 0.0000
0.7500 0.7500 0.7500
0.5000 0.5000 0.5000

***

2.
BaTlIn2Sn, relaxed, DFT PBE-GGA; symmetry = No. 44; total energy = -3.063 eV per atom; size of the total moment = 0.00 μB per formula unit; ΔE_f = -7.1 kcal/mol of atoms
1.0
5.0271 0.0000 0.0000
0.0000 5.5501 0.0000
-2.5135 -2.7751 5.8733
Ba Tl In Sn
1 1 2 1
direct
0.4383 0.4383 0.8765
0.1764 0.6764 0.3528
0.7047 0.2047 0.4094
0.0689 0.0689 0.1378
0.8239 0.8239 0.6478

***

3.
TmSc2Al2, relaxed, DFT PBE-GGA; symmetry = No. 11; total energy = -5.273 eV per atom; size of the total moment = 0.00 μB per formula unit; ΔE_f = -8.0 kcal/mol of atoms
1.0
-2.6733 1.4331 -1.6492
-3.0892 -1.9127 3.3456
2.5539 9.6979 7.9023
Tm Sc Al
2 4 4
direct
0.8528 0.7500 0.7050
0.1472 0.2500 0.2950
0.0482 0.7500 0.0964
0.9518 0.2500 0.9036
0.2360 0.7500 0.4721
0.7640 0.2500 0.5279
0.6424 0.7500 0.2850
0.3576 0.2500 0.7150
0.4535 0.7500 0.9070
0.5465 0.2500 0.0930

***

4.
Ac14ErSc, relaxed, DFT PBE-GGA; symmetry = No. 123; total energy = -4.229 eV per atom; size of the total moment = 0.00 μB per formula unit; ΔE_f = 1.1 kcal/mol of atoms
1.0
7.7587 1.0398 0.0000
-1.0421 7.7584 0.0000
0.0000 0.0000 11.1498
Ac Er Sc
14 1 1
direct
0.3749 0.6251 0.5000
0.8751 0.1249 0.5000
0.8750 0.6250 0.0000
0.8749 0.6249 0.5000
0.3750 0.1250 0.0000
0.3751 0.1251 0.5000
0.6236 0.8736 0.7586
0.6236 0.8736 0.2414
0.1264 0.3764 0.7586
0.1264 0.3764 0.2414
0.1265 0.8735 0.7584
0.1265 0.8735 0.2416
0.6234 0.3766 0.7586
0.6234 0.3766 0.2414
0.8749 0.1251 0.0000
0.3752 0.6248 0.0000